Entry 1:
Al2InIr2 | PBE | optimized geometry

Cell and atoms, written as CIF:
```
data_Al2InIr2
_chemical_formula_sum 'Al4 In2 Ir4'
_space_group_name_H-M_alt 'P 1'
_space_group_IT_number 1
_space_group_name_Hall 'P 1'
_cell_length_a 7.456
_cell_length_b 7.456
_cell_length_c 2.851
_cell_angle_alpha 90.00
_cell_angle_beta 90.00
_cell_angle_gamma 90.00
loop_
_atom_site_label
_atom_site_type_symbol
_atom_site_fract_x
_atom_site_fract_y
_atom_site_fract_z
Al1 Al 0.131 0.369 0.000
Al2 Al 0.369 0.869 0.000
Al3 Al 0.631 0.131 0.000
Al4 Al 0.869 0.631 0.000
In1 In 0.000 0.000 0.000
In2 In 0.500 0.500 0.000
Ir1 Ir 0.162 0.662 0.500
Ir2 Ir 0.338 0.162 0.500
Ir3 Ir 0.662 0.838 0.500
Ir4 Ir 0.838 0.338 0.500
```

excess energy over the best structure of this formula in the dataset = 83.8 meV per atom
calculated formation energy = -2.51 eV/f.u.

***

Entry 2:
La3PmP4 | PBE | optimized geometry

Cell and atoms, written as CIF:
```
data_La3PmP4
_chemical_formula_sum 'La6 Pm2 P8'
_space_group_name_H-M_alt 'P 1'
_space_group_IT_number 1
_space_group_name_Hall 'P 1'
_cell_length_a 7.344
_cell_length_b 8.488
_cell_length_c 7.343
_cell_angle_alpha 90.00
_cell_angle_beta 109.50
_cell_angle_gamma 90.00
loop_
_atom_site_label
_atom_site_type_symbol
_atom_site_fract_x
_atom_site_fract_y
_atom_site_fract_z
La1 La 0.000 0.124 0.250
La2 La 0.000 0.374 0.750
La3 La 0.000 0.626 0.250
La4 La 0.000 0.876 0.750
La5 La 0.500 0.374 0.250
La6 La 0.500 0.626 0.750
Pm1 Pm 0.500 0.124 0.750
Pm2 Pm 0.500 0.876 0.250
P1 P 0.252 0.372 0.503
P2 P 0.252 0.628 0.003
P3 P 0.255 0.123 0.000
P4 P 0.255 0.877 0.500
P5 P 0.745 0.123 0.500
P6 P 0.745 0.877 0.000
P7 P 0.748 0.372 0.997
P8 P 0.748 0.628 0.497
```

calculated formation energy = -12.55 eV/f.u.

***

Entry 3:
AcCe4Se5 | PBE | optimized geometry

Cell and atoms, written as CIF:
```
data_AcCe4Se5
_chemical_formula_sum 'Ac1 Ce4 Se5'
_space_group_name_H-M_alt 'P 1'
_space_group_IT_number 1
_space_group_name_Hall 'P 1'
_cell_length_a 11.285
_cell_length_b 11.285
_cell_length_c 11.285
_cell_angle_alpha 158.28
_cell_angle_beta 148.95
_cell_angle_gamma 38.21
loop_
_atom_site_label
_atom_site_type_symbol
_atom_site_fract_x
_atom_site_fract_y
_atom_site_fract_z
Ac1 Ac 0.000 0.000 0.000
Ce1 Ce 0.204 0.204 0.000
Ce2 Ce 0.399 0.399 0.000
Ce3 Ce 0.601 0.601 0.000
Ce4 Ce 0.796 0.796 0.000
Se1 Se 0.106 0.606 0.500
Se2 Se 0.301 0.801 0.500
Se3 Se 0.500 0.000 0.500
Se4 Se 0.699 0.199 0.500
Se5 Se 0.894 0.394 0.500
```

formation energy without anion corrections = -1.8078 eV per atom

***

Entry 4:
KRb2TcI8 | PBE | optimized geometry

Cell and atoms, written as CIF:
```
data_KRb2TcI8
_chemical_formula_sum 'K1 Rb2 Tc1 I8'
_space_group_name_H-M_alt 'P 1'
_space_group_IT_number 1
_space_group_name_Hall 'P 1'
_cell_length_a 7.318
_cell_length_b 7.810
_cell_length_c 10.519
_cell_angle_alpha 79.71
_cell_angle_beta 76.12
_cell_angle_gamma 71.29
loop_
_atom_site_label
_atom_site_type_symbol
_atom_site_fract_x
_atom_site_fract_y
_atom_site_fract_z
K1 K 0.000 0.000 0.000
Rb1 Rb 0.394 0.385 0.315
Rb2 Rb 0.606 0.615 0.685
Tc1 Tc 0.000 0.000 0.500
I1 I 0.126 0.641 0.600
I2 I 0.242 0.082 0.629
I3 I 0.243 0.511 0.995
I4 I 0.286 0.934 0.274
I5 I 0.714 0.066 0.726
I6 I 0.757 0.489 0.005
I7 I 0.758 0.918 0.371
I8 I 0.874 0.359 0.400
```

formation energy without anion corrections = -0.7380 eV per atom

***

Entry 5:
Er6Zn5Ga | PBE | optimized geometry

Cell and atoms, written as CIF:
```
data_Er6Zn5Ga
_chemical_formula_sum 'Er6 Zn5 Ga1'
_space_group_name_H-M_alt 'P 1'
_space_group_IT_number 1
_space_group_name_Hall 'P 1'
_cell_length_a 7.914
_cell_length_b 7.914
_cell_length_c 7.085
_cell_angle_alpha 90.00
_cell_angle_beta 90.00
_cell_angle_gamma 143.21
loop_
_atom_site_label
_atom_site_type_symbol
_atom_site_fract_x
_atom_site_fract_y
_atom_site_fract_z
Er1 Er 0.000 0.000 0.250
Er2 Er 0.000 0.000 0.750
Er3 Er 0.333 0.667 0.249
Er4 Er 0.333 0.667 0.751
Er5 Er 0.667 0.333 0.249
Er6 Er 0.667 0.333 0.751
Zn1 Zn 0.167 0.833 0.000
Zn2 Zn 0.170 0.830 0.500
Zn3 Zn 0.500 0.500 0.000
Zn4 Zn 0.830 0.170 0.500
Zn5 Zn 0.833 0.167 0.000
Ga1 Ga 0.500 0.500 0.500
```

calculated formation energy = -4.73 eV/f.u.

***

Entry 6:
CrAsSe | PBE | optimized geometry

Cell and atoms, written as CIF:
```
data_CrAsSe
_chemical_formula_sum 'Cr4 As4 Se4'
_space_group_name_H-M_alt 'P 1'
_space_group_IT_number 1
_space_group_name_Hall 'P 1'
_cell_length_a 6.084
_cell_length_b 6.084
_cell_length_c 6.084
_cell_angle_alpha 90.00
_cell_angle_beta 90.00
_cell_angle_gamma 90.00
loop_
_atom_site_label
_atom_site_type_symbol
_atom_site_fract_x
_atom_site_fract_y
_atom_site_fract_z
Cr1 Cr 0.000 0.000 0.000
Cr2 Cr 0.000 0.500 0.500
Cr3 Cr 0.500 0.000 0.500
Cr4 Cr 0.500 0.500 0.000
As1 As 0.250 0.250 0.750
As2 As 0.250 0.750 0.250
As3 As 0.750 0.250 0.250
As4 As 0.750 0.750 0.750
Se1 Se 0.250 0.250 0.250
Se2 Se 0.250 0.750 0.750
Se3 Se 0.750 0.250 0.750
Se4 Se 0.750 0.750 0.250
```

formation energy without anion corrections = -0.0338 eV per atom

***

Entry 7:
Pu2GaTc | PBE | optimized geometry

Cell and atoms, written as CIF:
```
data_Pu2GaTc
_chemical_formula_sum 'Pu2 Ga1 Tc1'
_space_group_name_H-M_alt 'P 1'
_space_group_IT_number 1
_space_group_name_Hall 'P 1'
_cell_length_a 2.535
_cell_length_b 2.535
_cell_length_c 10.249
_cell_angle_alpha 90.00
_cell_angle_beta 90.00
_cell_angle_gamma 90.00
loop_
_atom_site_label
_atom_site_type_symbol
_atom_site_fract_x
_atom_site_fract_y
_atom_site_fract_z
Pu1 Pu 0.000 0.000 0.246
Pu2 Pu 0.000 0.000 0.754
Ga1 Ga 0.500 0.500 0.000
Tc1 Tc 0.500 0.500 0.500
```

calculated formation energy = 1.26 eV/f.u.

***

Entry 8:
Sc2MoAu | PBE | optimized geometry

Cell and atoms, written as CIF:
```
data_Sc2MoAu
_chemical_formula_sum 'Sc6 Mo3 Au3'
_space_group_name_H-M_alt 'P 1'
_space_group_IT_number 1
_space_group_name_Hall 'P 1'
_cell_length_a 3.212
_cell_length_b 3.212
_cell_length_c 26.454
_cell_angle_alpha 90.00
_cell_angle_beta 90.00
_cell_angle_gamma 120.00
loop_
_atom_site_label
_atom_site_type_symbol
_atom_site_fract_x
_atom_site_fract_y
_atom_site_fract_z
Sc1 Sc 0.000 0.000 0.247
Sc2 Sc 0.000 0.000 0.753
Sc3 Sc 0.333 0.667 0.420
Sc4 Sc 0.333 0.667 0.914
Sc5 Sc 0.667 0.333 0.086
Sc6 Sc 0.667 0.333 0.580
Mo1 Mo 0.000 0.000 0.500
Mo2 Mo 0.333 0.667 0.167
Mo3 Mo 0.667 0.333 0.833
Au1 Au 0.000 0.000 0.000
Au2 Au 0.333 0.667 0.667
Au3 Au 0.667 0.333 0.333
```

excess energy over the best structure of this formula in the dataset = 200.9 meV per atom
calculated formation energy = -0.18 eV/f.u.

***

Entry 9:
VCoIrW | PBE | optimized geometry

Cell and atoms, written as CIF:
```
data_VCoIrW
_chemical_formula_sum 'V1 Co1 Ir1 W1'
_space_group_name_H-M_alt 'P 1'
_space_group_IT_number 1
_space_group_name_Hall 'P 1'
_cell_length_a 3.706
_cell_length_b 3.780
_cell_length_c 3.870
_cell_angle_alpha 90.00
_cell_angle_beta 90.00
_cell_angle_gamma 90.00
loop_
_atom_site_label
_atom_site_type_symbol
_atom_site_fract_x
_atom_site_fract_y
_atom_site_fract_z
V1 V 0.000 0.000 0.000
Co1 Co 0.000 0.500 0.500
Ir1 Ir 0.500 0.500 0.000
W1 W 0.500 0.000 0.500
```

calculated formation energy = -0.90 eV/f.u.

***

Entry 10:
TbNd12Y3 | PBE | optimized geometry

Cell and atoms, written as CIF:
```
data_TbNd12Y3
_chemical_formula_sum 'Tb1 Nd12 Y3'
_space_group_name_H-M_alt 'P 1'
_space_group_IT_number 1
_space_group_name_Hall 'P 1'
_cell_length_a 5.170
_cell_length_b 5.170
_cell_length_c 20.620
_cell_angle_alpha 90.00
_cell_angle_beta 90.00
_cell_angle_gamma 90.00
loop_
_atom_site_label
_atom_site_type_symbol
_atom_site_fract_x
_atom_site_fract_y
_atom_site_fract_z
Tb1 Tb 0.000 0.000 0.000
Nd1 Nd 0.000 0.500 0.125
Nd2 Nd 0.000 0.500 0.375
Nd3 Nd 0.000 0.500 0.625
Nd4 Nd 0.000 0.500 0.875
Nd5 Nd 0.500 0.000 0.125
Nd6 Nd 0.500 0.000 0.375
Nd7 Nd 0.500 0.000 0.625
Nd8 Nd 0.500 0.000 0.875
Nd9 Nd 0.500 0.500 0.000
Nd10 Nd 0.500 0.500 0.250
Nd11 Nd 0.500 0.500 0.500
Nd12 Nd 0.500 0.500 0.750
Y1 Y 0.000 0.000 0.250
Y2 Y 0.000 0.000 0.500
Y3 Y 0.000 0.000 0.750
```

calculated formation energy = 0.19 eV/f.u.

***

| no. | VASP energy (eV/atom) |
| --- | --- |
| 1 | -6.092 |
| 2 | -6.716 |
| 3 | -6.334 |
| 4 | -2.888 |
| 5 | -3.458 |
| 6 | -5.953 |
| 7 | -10.198 |
| 8 | -6.738 |
| 9 | -9.734 |
| 10 | -5.065 |